Record 1
The following is a DFT calculation (PBE) of a relaxed MnOs2C crystal.

abc: 4.961 4.961 5.957
angles: 65.39 65.39 90.00
Fractional coordinates of all 8 atoms:
C (0.500, 0.500, 0.000)
C (0.250, 0.750, 0.500)
Mn (0.000, 0.000, 0.000)
Mn (0.750, 0.250, 0.500)
Os (0.575, 0.125, 0.250)
Os (0.175, 0.625, 0.250)
Os (0.375, 0.425, 0.750)
Os (0.875, 0.825, 0.750)

DFT total energy in eV/atom: -9.32
Space-group type: I-42d (122)

Record 2
The following is a DFT calculation (PBE) of a relaxed MnOs3C crystal.

abc: 4.040 4.040 4.040
angles: 90.00 90.00 90.00
Fractional coordinates of all 5 atoms:
C (0.000, 0.000, 0.000)
Mn (0.500, 0.500, 0.500)
Os (0.000, 0.500, 0.000)
Os (0.000, 0.000, 0.500)
Os (0.500, 0.000, 0.000)

DFT total energy in eV/atom: -9.98
Space-group type: Pm-3m (221)
Offset from the most stable computed form in meV per atom: 0

Record 3
The following is a DFT calculation (PBE) of a relaxed Mn8OsC2 crystal.

abc: 3.801 6.179 6.179
angles: 78.37 96.48 96.48
Fractional coordinates of all 11 atoms:
Mn (0.284, 0.390, 0.836)
Mn (0.716, 0.164, 0.610)
Mn (0.365, 0.793, 0.793)
Mn (0.635, 0.207, 0.207)
Mn (0.284, 0.836, 0.390)
Mn (0.716, 0.610, 0.164)
Mn (0.780, 0.593, 0.593)
Mn (0.220, 0.407, 0.407)
Os (0.000, 0.000, 0.000)
C (0.864, 0.792, 0.792)
C (0.136, 0.208, 0.208)

DFT total energy in eV/atom: -8.94
Space-group type: C2/m (12)

Record 4
The following is a DFT calculation (PBE) of a relaxed MnOsC2 crystal.

abc: 3.666 3.666 3.666
angles: 60.00 60.00 60.00
Fractional coordinates of all 4 atoms:
C (0.250, 0.250, 0.250)
C (0.750, 0.750, 0.750)
Mn (0.000, 0.000, 0.000)
Os (0.500, 0.500, 0.500)

DFT total energy in eV/atom: -8.65
Space-group type: Fm-3m (225)

Record 5
The following is a DFT calculation (PBE) of a relaxed Mn21Os2C6 crystal.

abc: 7.375 7.375 7.375
angles: 60.00 60.00 60.00
Fractional coordinates of all 29 atoms:
Mn (0.000, 0.000, 0.000)
Mn (0.616, 0.616, 0.151)
Mn (0.616, 0.616, 0.616)
Mn (0.616, 0.151, 0.616)
Mn (0.151, 0.616, 0.616)
Mn (0.384, 0.384, 0.849)
Mn (0.384, 0.384, 0.384)
Mn (0.384, 0.849, 0.384)
Mn (0.849, 0.384, 0.384)
Mn (0.667, 0.000, 0.333)
Mn (0.000, 0.667, 0.333)
Mn (0.000, 0.000, 0.333)
Mn (0.000, 0.667, 0.000)
Mn (0.667, 0.000, 0.000)
Mn (0.000, 0.000, 0.667)
Mn (0.000, 0.333, 0.000)
Mn (0.000, 0.333, 0.667)
Mn (0.667, 0.333, 0.000)
Mn (0.333, 0.000, 0.667)
Mn (0.333, 0.000, 0.000)
Mn (0.333, 0.667, 0.000)
Os (0.750, 0.750, 0.750)
Os (0.250, 0.250, 0.250)
C (0.276, 0.724, 0.276)
C (0.724, 0.276, 0.276)
C (0.724, 0.724, 0.276)
C (0.724, 0.276, 0.724)
C (0.276, 0.724, 0.724)
C (0.276, 0.276, 0.724)

DFT total energy in eV/atom: -9.40
Space-group type: Fm-3m (225)

Record 6
The following is a DFT calculation (PBE) of a relaxed MnOs3C crystal.

abc: 4.392 4.392 4.392
angles: 90.00 90.00 90.00
Fractional coordinates of all 5 atoms:
C (0.500, 0.500, 0.500)
Mn (0.000, 0.000, 0.000)
Os (0.000, 0.500, 0.000)
Os (0.000, 0.000, 0.500)
Os (0.500, 0.000, 0.000)

DFT total energy in eV/atom: -7.40
Space-group type: Pm-3m (221)
Offset from the most stable computed form in meV per atom: 2579

Record 7
The following is a DFT calculation (PBE) of a relaxed Mn2OsC crystal.

abc: 4.876 4.876 5.694
angles: 64.65 64.65 90.00
Fractional coordinates of all 8 atoms:
C (0.500, 0.500, 0.000)
C (0.250, 0.750, 0.500)
Mn (0.545, 0.125, 0.250)
Mn (0.205, 0.625, 0.250)
Mn (0.375, 0.455, 0.750)
Mn (0.875, 0.795, 0.750)
Os (0.000, 0.000, 0.000)
Os (0.750, 0.250, 0.500)

DFT total energy in eV/atom: -8.89
Space-group type: I-42d (122)

Record 8
The following is a DFT calculation (PBE) of a relaxed Mn2OsPdC crystal.

abc: 4.820 3.677 4.820
angles: 90.00 90.00 90.00
Fractional coordinates of all 5 atoms:
C (0.000, 0.500, 0.000)
Mn (0.000, 0.000, 0.500)
Mn (0.500, 0.000, 0.000)
Os (0.500, 0.500, 0.500)
Pd (0.000, 0.000, 0.000)

DFT total energy in eV/atom: -7.07
Space-group type: P4/mmm (123)